Entry 1:
Compound: Ho2Tm8Zr
Source: Alexandria
Functional: GGA-PBE
Structure: relaxed

Cell lengths 17.6707, 4.8852, 7.7564 Å; angles 90.00, 105.23, 90.00 degrees
Space group C2/m (No. 12)
Unique sites:
Ho  0.2265  0.0000  0.1347
Tm  0.0442  0.0000  0.2367
Tm  0.0889  0.5000  0.9447
Tm  0.1318  0.0000  0.6752
Tm  0.1787  0.5000  0.4098
Zr  0.0000  0.5000  0.5000

Results
Calculated volume: 29.37 Å³/atom
Energy relative to the lowest polymorph listed for this composition: 0 meV per atom
Total DFT energy (no corrections): -4.821 eV per atom
Energy of formation from the pure elements: 0.4 eV/f.u.

***

Entry 2:
Compound: Ho2Tm4Zr
Source: Alexandria
Functional: GGA-PBE
Structure: relaxed

Cell lengths 5.3113, 5.3113, 16.8068 Å; angles 90.00, 90.00, 90.00 degrees
Space group I4/mmm (No. 139)
Unique sites:
Ho  0.0000  0.0000  0.1246
Tm  0.0000  0.0000  0.3255
Tm  0.0000  0.5000  0.0000
Zr  0.0000  0.0000  0.5000

Results
Calculated volume: 33.87 Å³/atom
Energy relative to the lowest polymorph listed for this composition: 582 meV per atom
Total DFT energy (no corrections): -4.478 eV per atom
Energy of formation from the pure elements: 4.2 eV/f.u.

***

Entry 3:
Compound: Ho4Tm5Zr
Source: Alexandria
Functional: GGA-PBE
Structure: relaxed

Cell lengths 3.4680, 9.1901, 9.7901 Å; angles 74.51, 89.91, 79.16 degrees
Space group P-1 (No. 2)
Unique sites:
Ho  0.0965  0.3057  0.2898
Ho  0.0968  0.3076  0.8064
Tm  0.3002  0.8994  0.4001
Tm  0.3021  0.8958  0.9013
Tm  0.5000  0.5000  0.5000
Zr  0.5000  0.5000  0.0000

Results
Calculated volume: 29.49 Å³/atom
Energy relative to the lowest polymorph listed for this composition: 0 meV per atom
Total DFT energy (no corrections): -4.876 eV per atom
Energy of formation from the pure elements: 0.5 eV/f.u.

***

Please write out number 3 again, unchanged.
Compound: Ho4Tm5Zr
Source: Alexandria
Functional: GGA-PBE
Structure: relaxed

Cell lengths 3.4680, 9.1901, 9.7901 Å; angles 74.51, 89.91, 79.16 degrees
Space group P-1 (No. 2)
Unique sites:
Ho  0.0965  0.3057  0.2898
Ho  0.0968  0.3076  0.8064
Tm  0.3002  0.8994  0.4001
Tm  0.3021  0.8958  0.9013
Tm  0.5000  0.5000  0.5000
Zr  0.5000  0.5000  0.0000

Results
Calculated volume: 29.49 Å³/atom
Energy relative to the lowest polymorph listed for this composition: 0 meV per atom
Total DFT energy (no corrections): -4.876 eV per atom
Energy of formation from the pure elements: 0.5 eV/f.u.